No. 1
First-principles (PBE) data for crystalline PuGa2Pt at its relaxed geometry, as listed in Alexandria via LeMat-Bulk.

extended XYZ file:
```
16
Lattice="8.258 0.000 0.000 0.000 6.810 0.000 0.000 0.000 5.542" Properties=species:S:1:pos:R:3 pbc="T T T"
Pu 0.361 1.702 0.665
Pu 3.768 5.107 3.436
Pu 4.490 1.702 2.106
Pu 7.897 5.107 4.877
Ga 1.503 0.364 3.428
Ga 1.503 3.041 3.428
Ga 2.626 3.769 0.658
Ga 2.626 6.446 0.658
Ga 5.632 0.364 4.884
Ga 5.632 3.041 4.884
Ga 6.755 3.769 2.113
Ga 6.755 6.446 2.113
Pt 0.798 5.107 2.019
Pt 3.331 1.702 4.790
Pt 4.927 5.107 0.752
Pt 7.461 1.702 3.522
```

Output
As for the space-group type: Pnma, No. 62. Its volume is 312 Å³ per cell. Its calculated formation energy is -2.4 eV per formula unit.

---

No. 2
First-principles (PBE) data for crystalline SrCdGa2Pt2 at its relaxed geometry, as listed in Alexandria via LeMat-Bulk.

extended XYZ file:
```
6
Lattice="4.442 0.000 0.000 -2.221 3.847 0.000 0.000 0.000 7.345" Properties=species:S:1:pos:R:3 pbc="T T T"
Sr 0.000 0.000 0.000
Cd 0.000 0.000 3.672
Ga 0.000 2.565 5.131
Ga 2.221 1.282 2.213
Pt 0.000 2.565 2.267
Pt 2.221 1.282 5.078
```

Output
As for the space-group type: P-3m1, No. 164. Its volume is 126 Å³ per cell. Its calculated formation energy is -4.2 eV per formula unit.

---

No. 3
First-principles (PBE) data for crystalline Li6Tl3Sn at its relaxed geometry, as listed in Alexandria via LeMat-Bulk.

extended XYZ file:
```
20
Lattice="4.844 -5.714 0.000 4.844 5.714 0.000 0.000 0.000 7.568" Properties=species:S:1:pos:R:3 pbc="T T T"
Li 4.844 5.326 3.784
Li 2.372 0.958 2.511
Li 3.245 1.517 7.564
Li 4.844 2.346 3.181
Li 2.372 -0.958 6.295
Li 3.245 -1.517 3.780
Li 6.443 1.517 7.564
Li 7.316 0.958 2.511
Li 4.844 -2.346 6.966
Li 6.443 -1.517 3.780
Li 7.316 -0.958 6.295
Li 4.844 -5.326 0.000
Tl 1.747 1.770 5.197
Tl 1.747 -1.770 1.413
Tl 4.844 0.256 5.338
Tl 4.844 -0.256 1.554
Tl 7.941 1.770 5.197
Tl 7.941 -1.770 1.413
Sn 4.844 3.358 5.973
Sn 4.844 -3.358 2.189
```

Output
The energy above the most stable polymorph in this dataset comes out at 8.0 kJ/mol of atoms. As for the space-group type: Cmc2_1, No. 36. Its volume is 419 Å³ per cell. Its calculated formation energy is -1.8 eV per formula unit.

---

No. 4
First-principles (PBE) data for crystalline Be11Nb3 at its relaxed geometry, as listed in Alexandria via LeMat-Bulk.

extended XYZ file:
```
14
Lattice="-1.750 3.957 5.190 1.750 -3.957 5.190 1.750 3.957 -5.190" Properties=species:S:1:pos:R:3 pbc="T T T"
Be 0.000 0.000 0.000
Be 1.750 -2.183 3.830
Be 1.750 2.881 -1.692
Be 1.750 1.691 0.000
Be 0.000 1.774 1.361
Be 0.000 1.076 3.498
Be 1.750 2.881 1.692
Be 1.750 2.183 3.830
Be 0.000 2.266 5.190
Be 0.000 1.076 6.882
Be 0.000 6.140 1.361
Nb 1.750 0.000 1.997
Nb 0.000 3.957 0.000
Nb 0.000 3.957 3.193
```

Output
As for the space-group type: Immm, No. 71. Its volume is 144 Å³ per cell. Its calculated formation energy is -2.8 eV per formula unit.

---

No. 5
First-principles (PBE) data for crystalline MgS6F2 at its relaxed geometry, as listed in Alexandria via LeMat-Bulk.

extended XYZ file:
```
9
Lattice="4.573 -5.666 0.000 4.573 5.666 0.000 -0.060 0.000 3.481" Properties=species:S:1:pos:R:3 pbc="T T T"
Mg 0.000 0.000 0.000
S 3.627 1.658 0.404
S 2.675 0.000 2.978
S 5.460 1.658 3.077
S 3.627 -1.658 0.404
S 6.411 0.000 0.503
S 5.460 -1.658 3.077
F 4.543 4.456 1.741
F 4.543 -4.456 1.741
```

Output
As for the space-group type: C2/m, No. 12. Its volume is 180 Å³ per cell. The energy relative to the elements, uncorrected is -0.871 eV per atom.

---

No. 6
First-principles (PBE) data for crystalline La12Al3H5 at its relaxed geometry, as listed in Alexandria via LeMat-Bulk.

extended XYZ file:
```
80
Lattice="-8.144 8.144 8.144 8.144 -8.144 8.144 8.144 8.144 -8.144" Properties=species:S:1:pos:R:3 pbc="T T T"
La 2.463 -0.616 0.966
La 9.753 5.038 -4.688
La 7.528 -0.966 2.463
La 12.832 -1.609 3.106
La 10.607 0.616 0.966
La 9.753 -3.106 4.688
La 0.966 2.463 -0.616
La 11.250 3.456 -1.609
La 5.038 4.688 -1.609
La 7.178 2.463 0.616
La -0.616 0.966 2.463
La 4.688 -1.609 5.038
La 7.528 7.178 -2.463
La 4.688 1.609 3.106
La 7.178 -2.463 7.528
La 5.038 -4.688 9.753
La 3.106 4.688 1.609
La 9.110 5.681 0.616
La 2.463 7.528 -0.966
La 9.753 3.106 3.456
La 4.688 9.753 -3.106
La 7.528 0.966 5.681
La 1.609 3.106 4.688
La 2.463 0.616 7.178
La 5.681 7.528 0.966
La 6.535 5.038 3.456
La 0.616 7.178 2.463
La 3.456 -1.609 11.250
La -1.609 5.038 4.688
La 5.681 0.616 9.110
La -0.966 2.463 7.528
La 5.038 3.456 6.535
La 3.106 12.832 -1.609
La 0.966 10.607 0.616
La 3.456 6.535 5.038
La 0.616 0.966 10.607
La 3.456 9.753 3.106
La 8.760 7.178 5.681
La 0.966 5.681 7.528
La 3.106 3.456 9.753
La -3.106 4.688 9.753
La 7.178 5.681 8.760
La -1.609 11.250 3.456
La -2.463 7.528 7.178
La -4.688 9.753 5.038
La 0.616 9.110 5.681
La -1.609 3.106 12.832
La 5.681 8.760 7.178
Al 4.072 2.036 0.000
Al 8.144 4.072 -2.036
Al 2.036 0.000 4.072
Al 10.180 0.000 4.072
Al 0.000 4.072 2.036
Al 4.072 -2.036 8.144
Al 4.072 10.180 0.000
Al 8.144 4.072 6.108
Al -2.036 8.144 4.072
Al 6.108 8.144 4.072
Al 0.000 4.072 10.180
Al 4.072 6.108 8.144
H 0.000 0.000 0.000
H 4.072 4.072 -4.072
H 4.072 -4.072 4.072
H 8.144 0.000 0.000
H 12.216 2.036 0.000
H 8.144 -4.072 6.108
H 6.108 8.144 -4.072
H 6.108 0.000 4.072
H 4.072 6.108 0.000
H 8.144 4.072 2.036
H -4.072 4.072 4.072
H 0.000 8.144 0.000
H 0.000 0.000 8.144
H 4.072 4.072 4.072
H 0.000 4.072 6.108
H 4.072 2.036 8.144
H 2.036 8.144 4.072
H 2.036 0.000 12.216
H 0.000 12.216 2.036
H -4.072 6.108 8.144
```

Output
As for the space-group type: Ia-3d, No. 230. The calculation puts the final energy at -4.5710 eV per atom. Its volume is 2161 Å³ per cell.

---

What is the formula in the sixth record? La12Al3H5